No. 1
LaNi4Sn, relaxed, DFT PBE-GGA; space group = F-43m; polymorph energy (0 for the lowest one) = 0 meV/atom
1.0
0.0000 3.6081 3.6081
3.6081 0.0000 3.6081
3.6081 3.6081 0.0000
La Ni Sn
1 4 1
direct
0.0000 0.0000 0.0000
0.1290 0.6237 0.6237
0.6237 0.1290 0.6237
0.6237 0.6237 0.1290
0.6237 0.6237 0.6237
0.2500 0.2500 0.2500

=====

No. 2
La2Ni2Sn3, relaxed, DFT PBE-GGA; space group = Cmcm; polymorph energy (0 for the lowest one) = 0 meV/atom
1.0
2.3099 -9.8764 0.0000
2.3099 9.8764 0.0000
0.0000 0.0000 7.2664
La Ni Sn
4 4 6
direct
0.0427 0.9573 0.7500
0.1659 0.8341 0.2500
0.8341 0.1659 0.7500
0.9573 0.0427 0.2500
0.2957 0.7043 0.0557
0.2957 0.7043 0.4443
0.7043 0.2957 0.5557
0.7043 0.2957 0.9443
0.2166 0.7834 0.7500
0.4268 0.5732 0.5500
0.4268 0.5732 0.9500
0.5732 0.4268 0.0500
0.5732 0.4268 0.4500
0.7834 0.2166 0.2500

=====

No. 3
LaNi9Sn2, relaxed, DFT PBE-GGA; space group = P4/mbm
1.0
8.2947 0.0000 0.0000
0.0000 8.2947 0.0000
0.0000 0.0000 4.9199
La Ni Sn
2 18 4
direct
0.0000 0.0000 0.0000
0.5000 0.5000 0.0000
0.0000 0.5000 0.5000
0.0676 0.2084 0.5000
0.1732 0.6732 0.2471
0.1732 0.6732 0.7529
0.2084 0.9324 0.5000
0.2916 0.4324 0.5000
0.3268 0.1732 0.2471
0.3268 0.1732 0.7529
0.4324 0.7084 0.5000
0.5000 0.0000 0.5000
0.5676 0.2916 0.5000
0.6732 0.8268 0.2471
0.6732 0.8268 0.7529
0.7084 0.5676 0.5000
0.7916 0.0676 0.5000
0.8268 0.3268 0.2471
0.8268 0.3268 0.7529
0.9324 0.7916 0.5000
0.1269 0.3731 0.0000
0.3731 0.8731 0.0000
0.6269 0.1269 0.0000
0.8731 0.6269 0.0000

=====

No. 4
La2NiSn6, relaxed, DFT PBE-GGA; space group = Cmmm; polymorph energy (0 for the lowest one) = 159 meV/atom
1.0
3.9475 -7.5202 0.0000
3.9475 7.5202 0.0000
0.0000 0.0000 4.3130
La Ni Sn
2 1 6
direct
0.1785 0.8215 0.0000
0.8215 0.1785 0.0000
0.5000 0.5000 0.5000
0.1641 0.4685 0.5000
0.2909 0.2909 0.0000
0.4685 0.1641 0.5000
0.5315 0.8359 0.5000
0.7091 0.7091 0.0000
0.8359 0.5315 0.5000

=====

Number 1: energy relative to the elements -288.9 meV/atom, calculated volume 94 Å³/cell. Number 2: energy relative to the elements -576.3 meV/atom, calculated volume 332 Å³/cell. Number 3: energy relative to the elements -236.6 meV/atom, calculated volume 338 Å³/cell. Number 4: energy relative to the elements -383.6 meV/atom, calculated volume 256 Å³/cell.